# 1
## Hg2AsAu (PBE)

Data for crystalline Hg2AsAu at its relaxed geometry.

abc: 2.841 5.520 7.913
angles: 44.98 90.00 90.00
Element x y z (fractional)
As (0.500, 0.500, 0.500)
Au (0.000, 0.000, 0.500)
Hg (0.500, 0.500, 0.000)
Hg (0.000, 0.000, 0.000)

Formation enthalpy at 0 K ... 0.99 eV per formula unit
ρ ... 12.7 g cm⁻³
Distance to the lowest polymorph of the same formula ... 0.121 eV/atom

***

# 2
## LaDyAl (PBE)

Data for crystalline LaDyAl at its relaxed geometry.

abc: 4.835 4.835 7.797
angles: 90.00 90.00 90.00
Element x y z (fractional)
Al (0.500, 0.500, 0.000)
Al (0.000, 0.000, 0.000)
La (0.000, 0.500, 0.291)
La (0.500, 0.000, 0.709)
Dy (0.000, 0.500, 0.767)
Dy (0.500, 0.000, 0.233)

Formation enthalpy at 0 K ... -0.26 eV per formula unit
ρ ... 6.0 g cm⁻³
Distance to the lowest polymorph of the same formula ... 0.129 eV/atom

***

# 3
## SmPS4 (PBE)

Data for crystalline SmPS4 at its relaxed geometry.

abc: 7.374 7.373 7.373
angles: 76.04 76.04 121.17
Element x y z (fractional)
S (0.269, 0.693, 0.924)
S (0.193, 0.118, 0.076)
S (0.618, 0.693, 0.576)
S (0.731, 0.307, 0.076)
S (0.193, 0.769, 0.424)
S (0.807, 0.231, 0.576)
S (0.382, 0.307, 0.424)
S (0.807, 0.882, 0.924)
P (0.375, 0.125, 0.250)
P (0.625, 0.875, 0.750)
Sm (0.125, 0.375, 0.750)
Sm (0.875, 0.625, 0.250)

VASP energy ... -64.58 eV per cell
ρ ... 3.4 g cm⁻³